This record from Alexandria describes a relaxed Tl2SbRh crystal. The functional is PBE.

ΔE to the lowest computed polymorph in eV/f.u.: 0.27
Space-group type: No. 71
Raw formation energy in eV per atom: -0.01
Calculated volume in Å³/cell: 104.4
Density of states at the Fermi level in states/eV per cell: 2.7

Cell lengths 7.905, 7.905, 7.905 Å; angles 156.02, 148.59, 39.90 degrees
Atoms (fractional coordinates):
Sb 0.500 0.000 0.500
Tl 0.823 0.823 0.000
Tl 0.177 0.177 0.000
Rh 0.000 0.500 0.500



This record from Alexandria describes a relaxed Tl2SbRh crystal. The functional is PBE.

ΔE to the lowest computed polymorph in eV/f.u.: 0.24
Space-group type: No. 44
Raw formation energy in eV per atom: -0.01
Calculated volume in Å³/cell: 100.5
Density of states at the Fermi level in states/eV per cell: 2.0

Cell lengths 7.194, 7.194, 7.194 Å; angles 154.05, 141.74, 46.81 degrees
Atoms (fractional coordinates):
Tl 0.997 0.997 0.000
Tl 0.309 0.809 0.500
Rh 0.516 0.516 0.000
Sb 0.678 0.178 0.500



This record from Alexandria describes a relaxed TlSbRh2 crystal. The functional is PBE.

ΔE to the lowest computed polymorph in eV/f.u.: 1.42
Space-group type: No. 216
Raw formation energy in eV per atom: 0.27
Calculated volume in Å³/cell: 75.4
Density of states at the Fermi level in states/eV per cell: 2.5

Cell lengths 4.743, 4.743, 4.743 Å; angles 60.00, 60.00, 60.00 degrees
Atoms (fractional coordinates):
Sb 0.500 0.500 0.500
Rh 0.250 0.250 0.250
Rh 0.000 0.000 0.000
Tl 0.750 0.750 0.750



This record from Alexandria describes a relaxed Tl3SbRh crystal. The functional is PBE.

ΔE to the lowest computed polymorph in eV/f.u.: 0.00
Space-group type: No. 221
Raw formation energy in eV per atom: 0.19
Calculated volume in Å³/cell: 147.0
Density of states at the Fermi level in states/eV per cell: 4.5

Cell lengths 5.277, 5.277, 5.277 Å; angles 90.00, 90.00, 90.00 degrees
Atoms (fractional coordinates):
Rh 0.000 0.000 0.000
Sb 0.500 0.500 0.500
Tl 0.000 0.500 0.000
Tl 0.000 0.000 0.500
Tl 0.500 0.000 0.000



This record from Alexandria describes a relaxed Tl2SbRh crystal. The functional is PBE.

ΔE to the lowest computed polymorph in eV/f.u.: 1.06
Space-group type: No. 123
Raw formation energy in eV per atom: 0.19
Calculated volume in Å³/cell: 94.8
Density of states at the Fermi level in states/eV per cell: 2.0

Cell lengths 3.224, 3.224, 9.125 Å; angles 90.00, 90.00, 90.00 degrees
Atoms (fractional coordinates):
Rh 0.500 0.500 0.000
Tl 0.000 0.000 0.198
Tl 0.000 0.000 0.802
Sb 0.500 0.500 0.500



This record from Alexandria describes a relaxed Tl2SbRh2 crystal. The functional is PBE.

Space-group type: No. 127
Raw formation energy in eV per atom: 0.07
Calculated volume in Å³/cell: 202.4
Density of states at the Fermi level in states/eV per cell: 5.2

Cell lengths 7.481, 7.481, 3.617 Å; angles 90.00, 90.00, 90.00 degrees
Atoms (fractional coordinates):
Rh 0.148 0.352 0.000
Rh 0.852 0.648 0.000
Rh 0.648 0.148 0.000
Rh 0.352 0.852 0.000
Tl 0.347 0.153 0.500
Tl 0.153 0.653 0.500
Tl 0.653 0.847 0.500
Tl 0.847 0.347 0.500
Sb 0.500 0.500 0.000
Sb 0.000 0.000 0.000



This record from Alexandria describes a relaxed Tl2SbRh crystal. The functional is PBE.

ΔE to the lowest computed polymorph in eV/f.u.: 1.73
Space-group type: No. 65
Raw formation energy in eV per atom: 0.36
Calculated volume in Å³/cell: 93.5
Density of states at the Fermi level in states/eV per cell: 3.6

Cell lengths 5.479, 5.479, 3.327 Å; angles 90.00, 90.00, 110.64 degrees
Atoms (fractional coordinates):
Tl 0.000 0.500 0.000
Tl 0.500 0.000 0.000
Sb 0.500 0.500 0.500
Rh 0.000 0.000 0.500



This record from Alexandria describes a relaxed TlSbRh2 crystal. The functional is PBE.

ΔE to the lowest computed polymorph in eV/f.u.: 0.18
Space-group type: No. 25
Raw formation energy in eV per atom: -0.04
Calculated volume in Å³/cell: 76.3
Density of states at the Fermi level in states/eV per cell: 2.0

Cell lengths 5.265, 3.221, 4.499 Å; angles 89.99, 90.00, 90.00 degrees
Atoms (fractional coordinates):
Tl 0.500 0.125 0.219
Rh 0.000 0.125 0.015
Rh 0.500 0.625 0.723
Sb 0.000 0.625 0.544



This record from Alexandria describes a relaxed Tl2SbRh crystal. The functional is PBE.

ΔE to the lowest computed polymorph in eV/f.u.: 2.47
Space-group type: No. 122
Raw formation energy in eV per atom: 0.55
Calculated volume in Å³/cell: 269.9
Density of states at the Fermi level in states/eV per cell: 0.1

Cell lengths 6.414, 6.414, 7.976 Å; angles 66.29, 66.29, 90.00 degrees
Atoms (fractional coordinates):
Tl 0.875 0.835 0.750
Tl 0.585 0.125 0.250
Tl 0.165 0.625 0.250
Tl 0.375 0.415 0.750
Sb 0.750 0.250 0.500
Sb 0.000 0.000 0.000
Rh 0.250 0.750 0.500
Rh 0.500 0.500 0.000



This record from Alexandria describes a relaxed TlSbRh3 crystal. The functional is PBE.

ΔE to the lowest computed polymorph in eV/f.u.: 0.00
Space-group type: No. 221
Raw formation energy in eV per atom: 0.71
Calculated volume in Å³/cell: 114.2
Density of states at the Fermi level in states/eV per cell: 14.8

Cell lengths 4.852, 4.852, 4.852 Å; angles 90.00, 90.00, 90.00 degrees
Atoms (fractional coordinates):
Rh 0.000 0.000 0.500
Rh 0.500 0.000 0.000
Rh 0.000 0.500 0.000
Tl 0.500 0.500 0.500
Sb 0.000 0.000 0.000



This record from Alexandria describes a relaxed TlSbRh2 crystal. The functional is PBE.

ΔE to the lowest computed polymorph in eV/f.u.: 0.08
Space-group type: No. 166
Raw formation energy in eV per atom: -0.06
Calculated volume in Å³/cell: 76.1
Density of states at the Fermi level in states/eV per cell: 1.9

Cell lengths 8.299, 8.299, 8.299 Å; angles 22.92, 22.92, 22.92 degrees
Atoms (fractional coordinates):
Sb 0.500 0.500 0.500
Rh 0.756 0.756 0.756
Rh 0.244 0.244 0.244
Tl 0.000 0.000 0.000



This record from Alexandria describes a relaxed TlSb3Rh crystal. The functional is PBE.

ΔE to the lowest computed polymorph in eV/f.u.: 0.00
Space-group type: No. 221
Raw formation energy in eV per atom: 0.23
Calculated volume in Å³/cell: 144.3
Density of states at the Fermi level in states/eV per cell: 6.5

Cell lengths 5.245, 5.245, 5.245 Å; angles 90.00, 90.00, 90.00 degrees
Atoms (fractional coordinates):
Tl 0.500 0.500 0.500
Sb 0.000 0.000 0.500
Sb 0.500 0.000 0.000
Sb 0.000 0.500 0.000
Rh 0.000 0.000 0.000



This record from Alexandria describes a relaxed TlSbRh2 crystal. The functional is PBE.

ΔE to the lowest computed polymorph in eV/f.u.: 0.15
Space-group type: No. 12
Raw formation energy in eV per atom: -0.04
Calculated volume in Å³/cell: 76.6
Density of states at the Fermi level in states/eV per cell: 2.5

Cell lengths 4.380, 4.380, 5.906 Å; angles 78.32, 78.32, 43.90 degrees
Atoms (fractional coordinates):
Rh 0.256 0.256 0.721
Rh 0.744 0.744 0.279
Tl 0.500 0.500 0.000
Sb 0.000 0.000 0.500



This record from Alexandria describes a relaxed Tl2SbRh crystal. The functional is PBE.

ΔE to the lowest computed polymorph in eV/f.u.: 1.62
Space-group type: No. 123
Raw formation energy in eV per atom: 0.33
Calculated volume in Å³/cell: 94.4
Density of states at the Fermi level in states/eV per cell: 3.5

Cell lengths 4.261, 4.261, 5.202 Å; angles 90.00, 90.00, 90.00 degrees
Atoms (fractional coordinates):
Sb 0.000 0.000 0.500
Rh 0.500 0.500 0.500
Tl 0.500 0.000 0.000
Tl 0.000 0.500 0.000



This record from Alexandria describes a relaxed TlSbRh2 crystal. The functional is PBE.

ΔE to the lowest computed polymorph in eV/f.u.: 1.60
Space-group type: No. 122
Raw formation energy in eV per atom: 0.32
Calculated volume in Å³/cell: 214.5
Density of states at the Fermi level in states/eV per cell: 5.1

Cell lengths 6.219, 6.219, 7.079 Å; angles 63.94, 63.94, 90.00 degrees
Atoms (fractional coordinates):
Rh 0.375 0.398 0.750
Rh 0.148 0.625 0.250
Rh 0.602 0.125 0.250
Rh 0.875 0.852 0.750
Tl 0.750 0.250 0.500
Tl 0.000 0.000 0.000
Sb 0.250 0.750 0.500
Sb 0.500 0.500 0.000



This record from Alexandria describes a relaxed Tl2SbRh crystal. The functional is PBE.

ΔE to the lowest computed polymorph in eV/f.u.: 1.39
Space-group type: No. 119
Raw formation energy in eV per atom: 0.27
Calculated volume in Å³/cell: 93.7
Density of states at the Fermi level in states/eV per cell: 2.6

Cell lengths 5.138, 5.138, 5.138 Å; angles 121.44, 121.44, 87.52 degrees
Atoms (fractional coordinates):
Rh 0.500 0.500 0.000
Tl 0.000 0.000 0.000
Tl 0.250 0.750 0.500
Sb 0.750 0.250 0.500



This record from Alexandria describes a relaxed TmSb6Rh12 crystal. The functional is PBE.

Space-group type: No. 166
Raw formation energy in eV per atom: -0.27
Calculated volume in Å³/cell: 351.0
Density of states at the Fermi level in states/eV per cell: 13.4

Cell lengths 7.496, 7.496, 7.496 Å; angles 106.98, 106.98, 106.98 degrees
Atoms (fractional coordinates):
Rh 0.877 0.500 0.123
Rh 0.391 0.159 0.391
Rh 0.123 0.500 0.877
Rh 0.391 0.391 0.159
Rh 0.500 0.877 0.123
Rh 0.159 0.391 0.391
Rh 0.841 0.609 0.609
Rh 0.500 0.123 0.877
Rh 0.609 0.841 0.609
Rh 0.123 0.877 0.500
Rh 0.609 0.609 0.841
Rh 0.877 0.123 0.500
Sb 0.270 0.704 0.270
Sb 0.296 0.730 0.730
Sb 0.270 0.270 0.704
Sb 0.730 0.296 0.730
Sb 0.730 0.730 0.296
Sb 0.704 0.270 0.270
Tm 0.000 0.000 0.000



This record from Alexandria describes a relaxed Tm5Sb2Rh crystal. The functional is PBE.

ΔE to the lowest computed polymorph in eV/f.u.: 2.54
Space-group type: No. 63
Raw formation energy in eV per atom: -0.52
Calculated volume in Å³/cell: 417.6
Density of states at the Fermi level in states/eV per cell: 8.9

Cell lengths 5.745, 5.395, 15.917 Å; angles 90.00, 90.00, 122.17 degrees
Atoms (fractional coordinates):
Tm 0.254 0.508 0.750
Tm 0.746 0.492 0.250
Tm 0.097 0.194 0.362
Tm 0.097 0.194 0.138
Tm 0.903 0.806 0.862
Tm 0.903 0.806 0.638
Tm 0.564 0.128 0.596
Tm 0.436 0.872 0.096
Tm 0.564 0.128 0.904
Tm 0.436 0.872 0.404
Sb 0.782 0.563 0.058
Sb 0.218 0.437 0.942
Sb 0.782 0.563 0.442
Sb 0.218 0.437 0.558
Rh 0.347 0.693 0.250
Rh 0.653 0.307 0.750



This record from Alexandria describes a relaxed Tm6Sb3Rh crystal. The functional is PBE.

Space-group type: No. 36
Raw formation energy in eV per atom: -0.64
Calculated volume in Å³/cell: 563.8
Density of states at the Fermi level in states/eV per cell: 14.7

Cell lengths 6.955, 9.275, 9.275 Å; angles 109.55, 90.00, 90.00 degrees
Atoms (fractional coordinates):
Tm 0.603 0.239 0.362
Tm 0.722 0.568 0.104
Tm 0.222 0.104 0.568
Tm 0.726 0.244 0.756
Tm 0.289 0.982 0.018
Tm 0.603 0.638 0.761
Tm 0.103 0.761 0.638
Tm 0.226 0.756 0.244
Tm 0.103 0.362 0.239
Tm 0.222 0.432 0.896
Tm 0.789 0.018 0.982
Tm 0.722 0.896 0.432
Sb 0.991 0.714 0.929
Sb 0.991 0.071 0.286
Sb 0.290 0.435 0.565
Sb 0.790 0.565 0.435
Sb 0.491 0.286 0.071
Sb 0.491 0.929 0.714
Rh 0.050 0.151 0.849
Rh 0.550 0.849 0.151



This record from Alexandria describes a relaxed Tm8Sb2Rh3 crystal. The functional is PBE.

Space-group type: No. 10
Raw formation energy in eV per atom: -0.73
Calculated volume in Å³/cell: 341.5
Density of states at the Fermi level in states/eV per cell: 6.3

Cell lengths 4.777, 9.649, 8.840 Å; angles 123.06, 90.00, 90.00 degrees
Atoms (fractional coordinates):
Tm 0.000 0.887 0.773
Tm 0.500 0.642 0.778
Tm 0.500 0.135 0.777
Tm 0.000 0.609 0.218
Tm 0.500 0.865 0.223
Tm 0.000 0.391 0.782
Tm 0.500 0.358 0.222
Tm 0.000 0.113 0.227
Sb 0.500 0.744 0.488
Sb 0.500 0.256 0.512
Rh 0.000 0.753 0.000
Rh 0.000 0.247 0.000
Rh 0.500 0.000 0.000